[1]
## Ce2TmSn3 (PBE)

Data for a geometry-optimized Ce2TmSn3 structure.

Cell: 5.1617 6.3283 6.8880 Å, 117.35 112.01 90.00°
Site moments in Bohr magnetons follow the coordinates.
Sites, in units of the cell vectors:
Ce: 0.6701 0.1701 0.3401  0.50
Ce: 0.3299 0.8299 0.6599  0.50
Tm: 0.0000 0.5000 0.0000  -0.03
Sn: 0.3444 0.3444 0.6887  -0.01
Sn: 0.0000 0.0000 0.0000  -0.02
Sn: 0.6556 0.6556 0.3113  -0.01

Computed properties:
Offset from the most stable computed form (meV per atom): 99.8
Calculated formation energy (eV/atom): -0.4758
V (Å³ per cell): 181.2
Energy (hartree per atom): -0.1911
Density of states at the Fermi level (states/eV/cell): 11.32

[2]
## Zr2OsPb (PBE)

Data for a geometry-optimized Zr2OsPb structure.

Cell: 3.1972 3.1973 8.3146 Å, 90.00 90.00 90.04°
Sites, in units of the cell vectors:
Pb: 0.5000 0.5000 0.7500
Os: 0.5000 0.5000 0.2500
Zr: 0.0000 0.0000 0.0459
Zr: 0.0000 0.0000 0.4541

Computed properties:
Calculated formation energy (eV/atom): -0.2892
V (Å³ per cell): 85.0
Energy (hartree per atom): -0.3049
Density of states at the Fermi level (states/eV/cell): 2.05

[3]
## HfNiI2N (PBE)

Data for a geometry-optimized HfNiI2N structure.

Cell: 5.8297 5.8297 3.9469 Å, 90.00 90.00 90.00°
Site moments in Bohr magnetons follow the coordinates.
Sites, in units of the cell vectors:
I: 0.0000 0.5000 0.0000  0.01
I: 0.5000 0.0000 0.0000  0.01
Ni: 0.5000 0.5000 0.5000  0.82
Hf: 0.0000 0.0000 0.0000  -0.01
N: 0.0000 0.0000 0.5000  0.00

Computed properties:
Offset from the most stable computed form (meV per atom): 0.0
V (Å³ per cell): 134.1
Raw formation energy (eV/atom): 0.34
Energy (hartree per atom): -0.1872
Density of states at the Fermi level (states/eV/cell): 9.73

[4]
## Eu2YMg (PBE)

Data for a geometry-optimized Eu2YMg structure.

Cell: 3.6799 3.6799 12.0004 Å, 81.18 81.18 60.00°
Site moments in Bohr magnetons follow the coordinates.
Sites, in units of the cell vectors:
Eu: 0.2535 0.2535 0.2396  7.00
Eu: 0.7465 0.7465 0.7604  7.00
Y: 0.5000 0.5000 0.5000  0.07
Mg: 0.0000 0.0000 0.0000  0.01

Computed properties:
Offset from the most stable computed form (meV per atom): 39.8
Calculated formation energy (eV/atom): 0.0772
V (Å³ per cell): 138.5
Energy (hartree per atom): -0.2600
Density of states at the Fermi level (states/eV/cell): 4.90